1.
This record from the Alexandria database describes a geometry-optimized Tl3VGe structure. The functional is PBE-GGA.

Calculated values
Total magnetic moment: 2.24 μB/cell
Formation energy: 0.7397 eV per atom
Crystal system: cubic

Unit cell a=5.377 b=5.377 c=5.377 alpha=90.00 beta=90.00 gamma=90.00
Last column: magnetic moment on the atom in μB.
Sites, in units of the cell vectors:
Tl  0.000  0.500  0.000  0.04
Tl  0.000  0.000  0.500  0.04
Tl  0.500  0.000  0.000  0.04
Ge  0.500  0.500  0.500  -0.39
V  0.000  0.000  0.000  2.50

2.
This record from the Alexandria database describes a geometry-optimized Tl2VGe structure. The functional is PBE-GGA.

Calculated values
Total magnetic moment: 0.00 μB/cell
Energy relative to the lowest polymorph listed for this composition: 0 meV/atom
Formation energy: 0.5355 eV per atom
Crystal system: tetragonal

Unit cell a=10.499 b=10.499 c=7.803 alpha=47.72 beta=47.72 gamma=90.00
Sites, in units of the cell vectors:
Tl  0.377  0.125  0.250
Tl  0.373  0.625  0.250
Tl  0.375  0.623  0.750
Tl  0.875  0.627  0.750
Ge  0.000  0.000  0.000
Ge  0.750  0.250  0.500
V  0.500  0.500  0.000
V  0.250  0.750  0.500

3.
This record from the Alexandria database describes a geometry-optimized TlVGe2 structure. The functional is PBE-GGA.

Calculated values
Total magnetic moment: 4.02 μB/cell
Energy relative to the lowest polymorph listed for this composition: 260 meV/atom
Formation energy: 0.4397 eV per atom
Crystal system: tetragonal

Unit cell a=4.476 b=4.476 c=9.297 alpha=76.07 beta=76.07 gamma=90.00
Last column: magnetic moment on the atom in μB.
Sites, in units of the cell vectors:
Tl  0.000  0.000  0.000  0.00
Tl  0.750  0.250  0.500  0.00
Ge  0.530  0.125  0.250  -0.03
Ge  0.220  0.625  0.250  -0.03
Ge  0.375  0.470  0.750  -0.03
Ge  0.875  0.780  0.750  -0.03
V  0.500  0.500  0.000  1.76
V  0.250  0.750  0.500  1.76

total magnetic moment of number 1 (Tl3VGe)? 2.24 μB/cell